AsSeBr2: relaxed, GGA-PBE.

Output
uncorrected formation energy = 67 kJ per mole of atoms
crystal system = tetragonal
E above lowest polymorph = 874.3 meV/atom
symmetry = P4/mmm

Lattice parameters (Å, degrees): 4.257 4.631 4.631 90.00 90.00 90.00
Fractional positions:
As  0.500  0.000  0.500
Se  0.500  0.500  0.000
Br  0.000  0.000  0.000
Br  0.000  0.500  0.500